No. 1
First-principles (PBE) data for an optimized crystal structure of LiFe2Sb2Pd, as listed in OQMD via LeMat-Bulk.

Unit cell a=3.9288 b=3.9288 c=6.5407 alpha=90.00 beta=90.00 gamma=90.00
With the nearest neighbours (Å) after each atom.
Atoms (fractional coordinates):
Fe1 0.5000 0.0000 0.0037  4 Sb 2.64-2.68, 4 Fe 2.78, 2 Li 2.78, 2 Pd 2.84
Fe2 0.0000 0.5000 0.0037  4 Sb 2.64-2.68, 4 Fe 2.78, 2 Li 2.78, 2 Pd 2.84
Li1 0.0000 0.0000 0.3051  5 Sb 2.74-2.79, 4 Fe 2.78
Pd1 0.5000 0.5000 0.6910  5 Sb 2.74-2.79, 4 Fe 2.84
Sb1 0.5000 0.5000 0.2725  4 Fe 2.64, 1 Pd 2.74, 4 Li 2.79
Sb2 0.0000 0.0000 0.7240  4 Fe 2.68, 1 Li 2.74, 4 Pd 2.79

Output
Size of the total moment ... 4.240 Bohr magnetons per cell
Total energy ... -5.504 eV/atom

***

No. 2
First-principles (PBE) data for an optimized crystal structure of TbY, as listed in OQMD via LeMat-Bulk.

Unit cell a=4.9082 b=4.9082 c=4.9082 alpha=60.00 beta=60.00 gamma=60.00
With the nearest neighbours (Å) after each atom.
Atoms (fractional coordinates):
Tb1 0.0000 0.0000 0.0000  4 Y 3.01
Y1 0.2500 0.2500 0.2500  4 Tb 3.01

Output
Size of the total moment ... 0.034 Bohr magnetons per cell
Energy relative to the lowest polymorph listed for this composition ... 1934 meV per atom
ΔH_f (0 K) ... 1.94 eV/atom